(1)
VASP calculation (PBE) on AlBr2Cl after structural relaxation.

The space group is Fm-3m (No. 225) and the conventional cell measures 7.013, 7.013 and 7.013 Å, with angles of 90.00, 90.00 and 90.00 degrees. The asymmetric unit holds Al at (0.000, 0.000, 0.000), Br at (0.250, 0.250, 0.250) and Cl at (0.000, 0.000, 0.500).

For the formation energy (no corrections), the calculation gives 29 meV/atom. The total magnetic moment comes out at 0.0 μB per formula unit.

=====

(2)
VASP calculation (PBE) on NdSc2Te3 after structural relaxation.

The space group is C2/m (No. 12) and the conventional cell measures 23.317, 4.170 and 7.530 Å, with angles of 90.00, 99.70 and 90.00 degrees. The asymmetric unit holds Nd at (0.174, 0.000, 0.463), Sc at (0.026, 0.500, 0.332), Sc at (0.167, 0.000, 0.947), Te at (0.070, 0.000, 0.140), Te at (0.105, 0.500, 0.688) and Te at (0.223, 0.500, 0.201).

For the formation energy (no corrections), the calculation gives -1081 meV/atom. The total magnetic moment comes out at 0.8 μB per formula unit.

=====

(3)
VASP calculation (PBE) on Mn2SiPOs after structural relaxation.

The space group is P4/mmm (No. 123) and the conventional cell measures 4.007, 4.007 and 4.365 Å, with angles of 90.00, 90.00 and 90.00 degrees. The asymmetric unit holds Mn at (0.000, 0.500, 0.000), Si at (0.000, 0.000, 0.500), P at (0.000, 0.000, 0.000) and Os at (0.500, 0.500, 0.500).

For the formation energy (no corrections), the calculation gives 983 meV/atom. The total magnetic moment comes out at 0.0 μB per formula unit.